1.
Here is a relaxed Y2MgPbC crystal from Alexandria. Energies are from PBE.

Computed properties:
- D(E_F): 0.149 states/eV/atom
- Energy relative to the elements: -209 kJ/mol of formula units
- Raw total energy: -5.924 eV per atom
- Total magnetization: 0.0 Bohr magnetons per cell

Cell lengths 4.9678, 4.9678, 4.4647 Å; angles 90.00, 90.00, 90.00 degrees
With the nearest neighbours (Å) after each atom.
Positions (direct):
1 C 0.0000 0.0000 0.0000  2 Mg 2.23, 4 Y 2.48
2 Y 0.5000 0.0000 0.0000  2 C 2.48
3 Pb 0.5000 0.5000 0.5000  8 Y 3.34, 4 Mg 3.51
4 Y 0.0000 0.5000 0.0000  2 C 2.48
5 Mg 0.0000 0.0000 0.5000  2 C 2.23



2.
Here is a relaxed CaPm2NpO8 crystal from Alexandria. Energies are from PBE.

Computed properties:
- D(E_F): 0.573 states/eV/atom
- Formation energy from raw total energies: -2857 meV/atom
- Raw total energy: -8.200 eV per atom
- Total magnetization: 0.9 Bohr magnetons per cell

Cell lengths 4.0394, 5.3627, 7.7015 Å; angles 90.00, 90.00, 94.43 degrees
With the nearest neighbours (Å) after each atom.
Positions (direct):
1 O 0.4513 0.2231 0.0000  1 Np 2.10
2 O 0.5487 0.7769 0.0000  1 Np 2.10
3 O 0.9688 0.2364 0.7904  1 Np 2.06
4 O 0.9688 0.2364 0.2096  1 Np 2.06
5 O 0.0312 0.7636 0.7904  1 Np 2.06
6 Np 0.0000 0.0000 0.0000  6 O 2.06-2.10
7 O 0.5000 0.7443 0.5000  2 Pm 2.35, 2 Ca 2.35-2.53, 1 O 2.62
8 O 0.5000 0.2557 0.5000  2 Pm 2.35, 2 Ca 2.35-2.53, 1 O 2.62
9 Pm 0.5000 0.5000 0.7530  8 O 2.35-2.49
10 Ca 0.0000 0.0000 0.5000  8 O 2.35-2.58
11 Pm 0.5000 0.5000 0.2470  8 O 2.35-2.49
12 O 0.0312 0.7636 0.2096  1 Np 2.06



3.
Here is a relaxed InTc2Sb crystal from Alexandria. Energies are from PBE.

Computed properties:
- D(E_F): 0.996 states/eV/atom
- Formation energy from raw total energies: 356 meV/atom
- Raw total energy: -6.542 eV per atom
- Energy above the lowest structure with this stoichiometry: 0.262 eV per atom
- Total magnetization: 0.0 Bohr magnetons per cell

Cell lengths 4.9062, 3.1395, 4.6553 Å; angles 90.00, 90.00, 90.00 degrees
With the nearest neighbours (Å) after each atom.
Positions (direct):
1 Sb 0.5000 0.8751 0.7348  6 Tc 2.74-2.88
2 Tc 0.5000 0.3751 0.2167  4 Sb 2.74-2.88, 2 In 2.83, 4 Tc 3.04
3 In 0.0000 0.3748 0.5199  6 Tc 2.77-2.84, 4 Sb 3.08
4 Tc 0.0000 0.8750 0.0286  4 In 2.77-2.84, 2 Sb 2.81, 4 Tc 3.04



4.
Here is a relaxed Cs2Li2PrCl6 crystal from Alexandria. Energies are from PBE.

Computed properties:
- D(E_F): 0.390 states/eV/atom
- Formation energy from raw total energies: -1804 meV/atom
- Raw total energy: -3.749 eV per atom
- Total magnetization: 0.6 Bohr magnetons per cell

Cell lengths 7.3418, 7.3418, 8.0411 Å; angles 90.00, 90.00, 120.00 degrees
With the nearest neighbours (Å) after each atom.
Positions (direct):
1 Cs 0.6667 0.3333 0.6284  9 Cl 3.78-3.86, 2 Li 3.90-4.14
2 Cl 0.1585 0.3288 0.7591  1 Li 2.29
3 Li 0.6667 0.3333 0.1431  3 Cl 2.29
4 Cs 0.3333 0.6667 0.3716  9 Cl 3.78-3.86, 2 Li 3.90-4.14
5 Cl 0.6712 0.8297 0.7591  1 Li 2.29
6 Cl 0.1703 0.8415 0.7591  1 Li 2.29
7 Li 0.3333 0.6667 0.8569  3 Cl 2.29
8 Cl 0.8297 0.1585 0.2409  1 Li 2.29
9 Pr 0.0000 0.0000 0.0000  6 Cl 2.85
10 Cl 0.8415 0.6712 0.2409  1 Li 2.29
11 Cl 0.3288 0.1703 0.2409  1 Li 2.29



5.
Here is a relaxed Pu2ThAl crystal from Alexandria. Energies are from PBE.

Computed properties:
- D(E_F): 2.504 states/eV/atom
- Energy relative to the elements: -33 kJ/mol of formula units
- Raw total energy: -10.041 eV per atom
- Energy above the lowest structure with this stoichiometry: 0.000 eV per atom
- Total magnetization: 11.6 Bohr magnetons per cell

Cell lengths 4.9162, 4.5384, 4.5384 Å; angles 90.00, 90.00, 90.00 degrees
With the nearest neighbours (Å) after each atom.
Positions (direct):
1 Th 0.5000 0.5000 0.5000  4 Al 3.21, 8 Pu 3.35
2 Pu 0.0000 0.0000 0.5000  4 Pu 3.21, 4 Th 3.35, 4 Al 3.35
3 Al 0.5000 0.0000 0.0000  4 Th 3.21, 8 Pu 3.35
4 Pu 0.0000 0.5000 0.0000  4 Pu 3.21, 4 Th 3.35, 4 Al 3.35



6.
Here is a relaxed RbTlIn2Sn2 crystal from Alexandria. Energies are from PBE.

Computed properties:
- D(E_F): 0.298 states/eV/atom
- Energy relative to the elements: -25 kJ/mol of formula units
- Raw total energy: -2.846 eV per atom
- Total magnetization: 0.0 Bohr magnetons per cell

Cell lengths 4.9507, 4.9507, 10.2919 Å; angles 90.00, 90.00, 120.00 degrees
With the nearest neighbours (Å) after each atom.
Positions (direct):
1 Rb 0.0000 0.0000 0.0000  6 Sn 3.94, 6 In 4.26
2 In 0.6667 0.3333 0.3065  3 Sn 2.89
3 In 0.3333 0.6667 0.6935  3 Sn 2.89
4 Sn 0.3333 0.6667 0.2634  3 In 2.89
5 Tl 0.0000 0.0000 0.5000  6 In 3.48, 6 Sn 3.75
6 Sn 0.6667 0.3333 0.7366  3 In 2.89